Computed, not measured: crystalline Tl2RhAu2 at its relaxed geometry at the PBE-GGA level of DFT.

Unit cell a=7.176 b=7.176 c=4.265 alpha=90.00 beta=90.00 gamma=90.00
Fractional positions:
Tl 0.174 0.326 0.000
Tl 0.326 0.826 0.000
Tl 0.674 0.174 0.000
Tl 0.826 0.674 0.000
Rh 0.000 0.000 0.500
Rh 0.500 0.500 0.500
Au 0.138 0.638 0.500
Au 0.362 0.138 0.500
Au 0.638 0.862 0.500
Au 0.862 0.362 0.500

Results
DFT formation energy, meV/atom: 288
Total magnetization, μB per cell: 0.0